Record 1
This record from Alexandria describes a relaxed Rb3BeI5 crystal. The functional is GGA-PBE.

Values from the calculation:
Theoretical density in g/cm³: 3.75
Calculated volume in Å³ per atom: 44.25
N(E_F) in states/eV/cell: 0.000
Uncorrected formation energy in eV/atom: -1.19
Space-group type: I4/mcm (140)

Unit cell a=10.1469 b=10.1465 c=10.5511 alpha=118.74 beta=118.74 gamma=90.00
Fractional positions:
I1 0.7935 0.0207 0.3142
I2 0.9793 0.4793 0.6858
I3 0.4793 0.7065 0.6858
I4 0.7065 0.2065 0.6858
I5 0.5000 0.5000 0.0000
I6 0.2935 0.7935 0.3142
I7 0.0000 0.0000 0.0000
I8 0.2065 0.9793 0.6858
I9 0.5207 0.2935 0.3142
I10 0.0207 0.5207 0.3142
Be1 0.2500 0.7500 0.5000
Be2 0.7500 0.2500 0.5000
Rb1 0.3380 0.8380 0.0000
Rb2 0.6620 0.1620 0.0000
Rb3 0.7500 0.7500 0.5000
Rb4 0.2500 0.2500 0.5000
Rb5 0.8380 0.6620 0.0000
Rb6 0.1620 0.3380 0.0000

Record 2
This record from Alexandria describes a relaxed RbBeI3 crystal. The functional is GGA-PBE.

Values from the calculation:
Theoretical density in g/cm³: 3.89
Calculated volume in Å³ per atom: 40.56
N(E_F) in states/eV/cell: 0.000
Uncorrected formation energy in eV/atom: -0.70
E above lowest polymorph in meV/atom: 250
Space-group type: I4/mmm (139)

Unit cell a=8.4733 b=8.4733 c=8.2349 alpha=59.04 beta=59.04 gamma=90.00
Fractional positions:
Rb1 0.2500 0.7500 0.5000
Rb2 0.7500 0.2500 0.5000
I1 0.1975 0.1975 0.6050
I2 0.2849 0.2849 0.0000
I3 0.7151 0.2849 0.0000
I4 0.7151 0.7151 0.0000
I5 0.8025 0.8025 0.3950
I6 0.2849 0.7151 0.0000
Be1 0.5000 0.5000 0.0000
Be2 0.0000 0.0000 0.0000

Record 3
This record from Alexandria describes a relaxed Rb2BeI crystal. The functional is GGA-PBE.

Values from the calculation:
Theoretical density in g/cm³: 2.37
Calculated volume in Å³ per atom: 53.76
N(E_F) in states/eV/cell: 0.017
Uncorrected formation energy in eV/atom: 0.07
E above lowest polymorph in meV/atom: 22
Space-group type: I-42d (122)

Unit cell a=9.5982 b=9.5982 c=8.2375 alpha=54.37 beta=54.37 gamma=90.00
Each line ends with the local moment (μB).
Fractional positions:
I1 0.0000 0.0000 0.0000  0.02
I2 0.7500 0.2500 0.5000  0.02
Rb1 0.8750 0.8735 0.7500  0.02
Rb2 0.1265 0.6250 0.2500  0.02
Rb3 0.3750 0.3765 0.7500  0.02
Rb4 0.6235 0.1250 0.2500  0.02
Be1 0.2500 0.7500 0.5000  0.13
Be2 0.5000 0.5000 0.0000  0.13

Record 4
This record from Alexandria describes a relaxed Rb2BeI4 crystal. The functional is GGA-PBE.

Values from the calculation:
Theoretical density in g/cm³: 3.58
Calculated volume in Å³ per atom: 45.50
N(E_F) in states/eV/cell: 0.000
Uncorrected formation energy in eV/atom: -1.12
E above lowest polymorph in meV/atom: 0
Space-group type: P2_1/m (11)

Unit cell a=7.8224 b=7.9917 c=10.4432 alpha=90.00 beta=102.64 gamma=90.00
Fractional positions:
I1 0.3032 0.9932 0.7274
I2 0.6968 0.0068 0.2726
I3 0.6968 0.4932 0.2726
I4 0.8186 0.2500 0.9707
I5 0.3032 0.5068 0.7274
I6 0.1476 0.2500 0.3319
I7 0.1814 0.7500 0.0293
I8 0.8524 0.7500 0.6681
Rb1 0.1233 0.7500 0.3984
Rb2 0.6765 0.7500 0.9638
Rb3 0.3235 0.2500 0.0362
Rb4 0.8767 0.2500 0.6016
Be1 0.8467 0.2500 0.2082
Be2 0.1533 0.7500 0.7918

Record 5
This record from Alexandria describes a relaxed RbBeI2 crystal. The functional is GGA-PBE.

Values from the calculation:
Theoretical density in g/cm³: 4.02
Calculated volume in Å³ per atom: 35.93
N(E_F) in states/eV/cell: 0.705
Uncorrected formation energy in eV/atom: 0.01
E above lowest polymorph in meV/atom: 348
Space-group type: Fm-3m (225)

Unit cell a=5.8794 b=5.8794 c=5.8794 alpha=60.00 beta=60.00 gamma=60.00
Each line ends with the local moment (μB).
Fractional positions:
I1 0.7500 0.7500 0.7500  0.09
I2 0.2500 0.2500 0.2500  0.09
Be1 0.0000 0.0000 0.0000  0.28
Rb1 0.5000 0.5000 0.5000  0.01

Record 6
This record from Alexandria describes a relaxed Rb2BeI4 crystal. The functional is GGA-PBE.

Values from the calculation:
Theoretical density in g/cm³: 2.54
Calculated volume in Å³ per atom: 64.16
N(E_F) in states/eV/cell: 0.000
Uncorrected formation energy in eV/atom: -1.06
E above lowest polymorph in meV/atom: 57
Space-group type: I-42m (121)

Unit cell a=8.6013 b=8.6013 c=8.5934 alpha=120.03 beta=120.03 gamma=90.00
Fractional positions:
Rb1 0.2500 0.7500 0.5000
Rb2 0.7500 0.2500 0.5000
I1 0.5561 0.5561 0.7783
I2 0.2222 0.2222 0.7783
I3 0.7778 0.4439 0.2217
I4 0.4439 0.7778 0.2217
Be1 0.5000 0.5000 0.0000